Entry 1:
# GaFe2Ge2 (PBE, relaxed)
data_GaFe2Ge2
_cell_length_a 3.679
_cell_length_b 3.679
_cell_length_c 11.650
_cell_angle_alpha 90.00
_cell_angle_beta 90.00
_cell_angle_gamma 90.00
_symmetry_space_group_name_H-M 'I 4/m m m'
_symmetry_Int_Tables_number 139
_symmetry_space_group_name_Hall '-I 4 2'
loop_
_atom_site_label
_atom_site_type_symbol
_atom_site_fract_x
_atom_site_fract_y
_atom_site_fract_z
_atom_site_occupancy
Ga1 Ga 0.000 0.000 0.000 1
Fe1 Fe 0.000 0.500 0.250 1
Ge1 Ge 0.000 0.000 0.389 1
# - energy above the most stable polymorph in this dataset (meV per atom) = 162
# - formation enthalpy at 0 K (eV per atom) = 0.2012
# - density (g/cm³) = 6.88
# - size of the total moment (μB/atom) = 0.79
# - Fermi-level density of states (states/eV/atom) = 0.6493


Entry 2:
# Sm2LuHg (PBE, relaxed)
data_Sm2LuHg
_cell_length_a 3.6295
_cell_length_b 3.6295
_cell_length_c 32.0925
_cell_angle_alpha 90.00
_cell_angle_beta 90.00
_cell_angle_gamma 120.00
_symmetry_space_group_name_H-M 'R -3 m'
_symmetry_Int_Tables_number 166
_symmetry_space_group_name_Hall '-R 3 2"'
loop_
_atom_site_label
_atom_site_type_symbol
_atom_site_fract_x
_atom_site_fract_y
_atom_site_fract_z
_atom_site_occupancy
Sm1 Sm 0.0000 0.0000 0.2448 1
Lu1 Lu 0.0000 0.0000 0.0000 1
Hg1 Hg 0.0000 0.0000 0.5000 1
# - energy above the most stable polymorph in this dataset (meV per atom) = 79
# - formation enthalpy at 0 K (eV per atom) = -0.1236
# - density (g/cm³) = 9.20
# - size of the total moment (μB/atom) = 0.00
# - Fermi-level density of states (states/eV/atom) = 1.2167


Entry 3:
# Tb6P2Se3I (PBE, relaxed)
data_Tb6P2Se3I
_cell_length_a 17.899
_cell_length_b 4.105
_cell_length_c 8.342
_cell_angle_alpha 90.00
_cell_angle_beta 102.32
_cell_angle_gamma 90.00
_symmetry_space_group_name_H-M 'C 1 2/m 1'
_symmetry_Int_Tables_number 12
loop_
_symmetry_equiv_pos_as_xyz
'x,y,z'
'-x,-y,-z'
'-x,y,-z'
'x,-y,z'
'x+1/2,y+1/2,z'
'-x+1/2,-y+1/2,-z'
'-x+1/2,y+1/2,-z'
'x+1/2,-y+1/2,z'
loop_
_atom_site_label
_atom_site_type_symbol
_atom_site_fract_x
_atom_site_fract_y
_atom_site_fract_z
_atom_site_occupancy
Tb1 Tb 0.013 0.000 0.287 1
Tb2 Tb 0.171 0.500 0.572 1
Tb3 Tb 0.181 0.500 0.121 1
P1 P 0.170 0.000 0.338 1
Se1 Se 0.000 0.500 0.500 1
Se2 Se 0.158 0.000 0.839 1
I1 I 0.000 0.500 0.000 1
# - density (g/cm³) = 7.65
# - size of the total moment (μB/atom) = 0.00
# - Fermi-level density of states (states/eV/atom) = 0.3746
# - formation energy without anion corrections (meV per atom) = -1582.0


Entry 4:
# TbHoCu2Ge2 (PBE, relaxed)
data_TbHoCu2Ge2
_cell_length_a 4.2399
_cell_length_b 4.2399
_cell_length_c 7.4045
_cell_angle_alpha 90.00
_cell_angle_beta 90.00
_cell_angle_gamma 120.00
_symmetry_space_group_name_H-M 'P -3 m 1'
_symmetry_Int_Tables_number 164
_symmetry_space_group_name_Hall '-P 3 2"'
loop_
_atom_site_label
_atom_site_type_symbol
_atom_site_fract_x
_atom_site_fract_y
_atom_site_fract_z
_atom_site_occupancy
Tb1 Tb 0.0000 0.0000 0.0000 1
Ho1 Ho 0.0000 0.0000 0.5000 1
Cu1 Cu 0.3333 0.6667 0.7446 1
Ge1 Ge 0.3333 0.6667 0.2520 1
# - formation enthalpy at 0 K (eV per atom) = -0.6875
# - density (g/cm³) = 8.59
# - size of the total moment (μB/atom) = 0.00
# - Fermi-level density of states (states/eV/atom) = 0.1854


Entry 5:
# Y3HoN4 (PBE, relaxed)
data_Y3HoN4
_cell_length_a 6.012
_cell_length_b 6.944
_cell_length_c 6.012
_cell_angle_alpha 90.00
_cell_angle_beta 109.46
_cell_angle_gamma 90.00
_symmetry_space_group_name_H-M 'P 1 2/c 1'
_symmetry_Int_Tables_number 13
loop_
_symmetry_equiv_pos_as_xyz
'x,y,z'
'-x,-y,-z'
'-x,y,-z+1/2'
'x,-y,z+1/2'
loop_
_atom_site_label
_atom_site_type_symbol
_atom_site_fract_x
_atom_site_fract_y
_atom_site_fract_z
_atom_site_occupancy
Y1 Y 0.000 0.125 0.250 1
Y2 Y 0.000 0.375 0.750 1
Y3 Y 0.500 0.125 0.750 1
Ho1 Ho 0.500 0.375 0.250 1
N1 N 0.250 0.126 0.001 1
N2 N 0.252 0.376 0.500 1
# - density (g/cm³) = 6.84
# - size of the total moment (μB/atom) = 0.00
# - Fermi-level density of states (states/eV/atom) = 0.0413
# - formation energy without anion corrections (meV per atom) = -1705.7


Entry 6:
# YPa2TaN6 (PBE, relaxed)
data_YPa2TaN6
_cell_length_a 5.7960
_cell_length_b 5.7960
_cell_length_c 14.8517
_cell_angle_alpha 90.00
_cell_angle_beta 90.00
_cell_angle_gamma 120.00
_symmetry_space_group_name_H-M 'R 3'
_symmetry_Int_Tables_number 146
_symmetry_space_group_name_Hall 'R 3'
loop_
_atom_site_label
_atom_site_type_symbol
_atom_site_fract_x
_atom_site_fract_y
_atom_site_fract_z
_atom_site_occupancy
Y1 Y 0.0000 0.0000 0.0000 1
Pa1 Pa 0.0000 0.0000 0.2748 1
Pa2 Pa 0.0000 0.0000 0.7758 1
Ta1 Ta 0.0000 0.0000 0.4891 1
N1 N 0.0132 0.7303 0.3824 1
N2 N 0.0444 0.3409 0.5443 1
# - density (g/cm³) = 9.41
# - size of the total moment (μB/atom) = 0.00
# - Fermi-level density of states (states/eV/atom) = 0.0000
# - formation energy without anion corrections (meV per atom) = -1482.2